1.
ZrScCl | Alexandria via LeMat-Bulk | PBE | optimized geometry; energy relative to the elements, uncorrected = -0.57 eV/atom; density of states at the Fermi level = 1.8 states/eV/f.u.; energy above the most stable polymorph in this dataset = 0.44 eV per formula unit; calculated volume = 63.7 Å³/cell
1.0
-6.2898 1.0925 -2.8813
-6.7226 -0.9194 -0.4484
-1.0031 2.8480 1.0184
Cl Sc Zr
1 1 1
Direct
0.9972 0.9972 0.0028
0.3384 0.3384 0.6616
0.6645 0.6645 0.3355

2.
PuSi3Ni5 | Alexandria via LeMat-Bulk | PBE | optimized geometry; energy relative to the elements, uncorrected = -0.58 eV/atom; density of states at the Fermi level = 14.4 states/eV/f.u.; calculated volume = 247.8 Å³/cell
1.0
3.6508 0.0000 0.0000
-1.8254 5.8843 0.0000
0.0000 0.0000 11.5332
Pu Si Ni
2 6 10
Direct
0.8427 0.6854 0.7500
0.1573 0.3146 0.2500
0.3832 0.7664 0.9566
0.8840 0.7679 0.2500
0.3832 0.7664 0.5434
0.6168 0.2336 0.4566
0.1160 0.2321 0.7500
0.6168 0.2336 0.0434
0.8036 0.6073 0.4353
0.1964 0.3927 0.9353
0.0000 0.0000 0.5000
0.0000 0.0000 0.0000
0.4457 0.8913 0.1445
0.5543 0.1087 0.8555
0.5543 0.1087 0.6445
0.8036 0.6073 0.0647
0.1964 0.3927 0.5647
0.4457 0.8913 0.3555

3.
Sr3Ge2AsAu6 | Alexandria via LeMat-Bulk | PBE | optimized geometry; density of states at the Fermi level = 2.5 states/eV/f.u.; calculated volume = 316.5 Å³/cell; energy of formation = -0.486 eV per atom
1.0
-5.3299 0.3170 -3.9240
-0.6741 -1.6783 6.3745
-0.9993 8.0163 2.0049
Sr Ge As Au
3 2 1 6
Direct
0.3333 0.6667 0.6746
0.6667 0.3333 0.3254
0.0000 0.0000 0.0000
0.6667 0.3333 0.9124
0.3333 0.6667 0.0876
0.0000 0.0000 0.5000
0.6510 0.8255 0.2987
0.1745 0.3490 0.2987
0.1745 0.8255 0.2987
0.8255 0.6510 0.7013
0.3490 0.1745 0.7013
0.8255 0.1745 0.7013

4.
FeNi2Rh3 | Alexandria via LeMat-Bulk | PBE | optimized geometry; density of states at the Fermi level = 9.1 states/eV/f.u.; calculated volume = 154.4 Å³/cell; energy of formation = 0.011 eV per atom
1.0
3.8079 0.0000 0.0183
1.9040 5.7199 0.0092
-0.0341 0.0000 7.0893
Fe Ni Rh
2 4 6
Direct
0.3392 0.3217 0.0000
0.6608 0.6783 0.0000
0.0000 0.0000 0.0000
0.0000 0.0000 0.5000
0.3316 0.3368 0.5000
0.6684 0.6632 0.5000
0.8329 0.3342 0.7518
0.5000 0.0000 0.2542
0.1671 0.6658 0.2482
0.8329 0.3342 0.2482
0.1671 0.6658 0.7518
0.5000 0.0000 0.7458

Q: Number 3 is which compound?
A: Sr3Ge2AsAu6